P | Ag2PS3 GGA-PBE relaxed; space group = C2/m, No. 12
1.0
6.164 0.000 0.140
3.082 5.706 0.070
2.314 0.000 6.385
Ag P S
4 2 6
direct
0.000 0.000 0.000
0.500 0.000 0.500
0.163 0.675 0.500
0.837 0.325 0.500
0.682 0.637 0.000
0.318 0.363 0.000
0.433 0.626 0.793
0.262 0.000 0.274
0.567 0.374 0.207
0.941 0.626 0.207
0.059 0.374 0.793
0.738 0.000 0.726



Q | Ag2PS3 GGA-PBE relaxed; space group = P2_1/c, No. 14
1.0
-0.866 6.534 -0.260
-11.660 -1.427 2.983
4.881 0.318 19.231
Ag P S
24 12 36
direct
0.583 0.066 0.165
0.980 0.749 0.779
0.075 0.708 0.007
0.485 0.370 0.108
0.514 0.661 0.130
0.417 0.934 0.835
0.980 0.751 0.279
0.914 0.061 0.907
0.020 0.251 0.221
0.417 0.566 0.335
0.486 0.161 0.370
0.020 0.249 0.721
0.075 0.792 0.507
0.925 0.208 0.493
0.515 0.630 0.892
0.086 0.939 0.093
0.514 0.839 0.630
0.515 0.870 0.392
0.485 0.130 0.608
0.086 0.561 0.593
0.925 0.292 0.993
0.486 0.339 0.870
0.914 0.439 0.407
0.583 0.434 0.665
0.539 0.906 0.008
0.955 0.991 0.625
0.461 0.406 0.492
0.842 0.484 0.232
0.158 0.984 0.268
0.539 0.594 0.508
0.045 0.491 0.875
0.842 0.016 0.732
0.158 0.516 0.768
0.461 0.094 0.992
0.955 0.509 0.125
0.045 0.009 0.375
0.911 0.544 0.703
0.836 0.610 0.490
0.164 0.390 0.510
0.103 0.137 0.606
0.089 0.044 0.797
0.466 0.626 0.606
0.682 0.627 0.252
0.911 0.956 0.203
0.355 0.682 0.440
0.703 0.976 0.560
0.836 0.890 0.990
0.645 0.182 0.060
0.119 0.849 0.628
0.881 0.349 0.872
0.881 0.151 0.372
0.297 0.476 0.940
0.534 0.126 0.894
0.297 0.024 0.440
0.667 0.155 0.728
0.089 0.456 0.297
0.897 0.637 0.894
0.333 0.845 0.272
0.703 0.524 0.060
0.534 0.374 0.394
0.466 0.874 0.106
0.667 0.345 0.228
0.355 0.818 0.940
0.645 0.318 0.560
0.318 0.127 0.248
0.103 0.363 0.106
0.164 0.110 0.010
0.682 0.873 0.752
0.119 0.651 0.128
0.897 0.863 0.394
0.333 0.655 0.772
0.318 0.373 0.748



Tell me which of them is the most stable. Sure, it is Q.



P | AgP2S GGA-PBE relaxed; space group = Fm-3m, No. 225
1.0
0.000 3.190 3.190
3.190 0.000 3.190
3.190 3.190 0.000
P S Ag
2 1 1
direct
0.250 0.250 0.250
0.750 0.750 0.750
0.000 0.000 0.000
0.500 0.500 0.500



Q | AgP2S GGA-PBE relaxed; space group = I-42d, No. 122
1.0
-1.652 3.746 -3.527
1.994 -2.949 -4.066
-4.982 -2.366 -4.319
P S Ag
4 2 2
direct
0.604 0.125 0.250
0.146 0.625 0.250
0.375 0.396 0.750
0.875 0.854 0.750
0.500 0.500 0.000
0.250 0.750 0.500
0.000 0.000 0.000
0.750 0.250 0.500



Tell me which of them is the most stable. Sure, it is Q.



P | AgP2S6 GGA-PBE relaxed; space group = P-3m1, No. 164
1.0
-6.451 -3.999 1.879
3.765 -4.559 3.222
-2.361 5.365 3.314
Ag P S
1 2 6
direct
0.000 0.000 0.000
0.763 0.333 0.667
0.237 0.667 0.333
0.749 0.668 0.834
0.749 0.166 0.834
0.749 0.166 0.332
0.251 0.332 0.166
0.251 0.834 0.166
0.251 0.834 0.668



Q | AgP2S6 GGA-PBE relaxed; space group = C2/c, No. 15
1.0
-2.416 -4.320 -2.919
3.129 -7.723 3.595
-8.419 -1.019 3.232
Ag P S
2 4 12
direct
0.250 0.221 0.779
0.750 0.779 0.221
0.218 0.649 0.802
0.282 0.198 0.351
0.782 0.351 0.198
0.718 0.802 0.649
0.435 0.716 0.598
0.065 0.402 0.284
0.565 0.284 0.402
0.935 0.598 0.716
0.905 0.844 0.442
0.595 0.558 0.156
0.095 0.156 0.558
0.405 0.442 0.844
0.103 0.821 0.987
0.397 0.013 0.179
0.897 0.179 0.013
0.603 0.987 0.821



Tell me which of them is the most stable. Sure, it is Q.



P | AgSbP2S GGA-PBE relaxed; space group = P4/mmm, No. 123
1.0
4.793 0.000 0.000
0.000 4.793 0.000
0.000 0.000 4.845
Sb S Ag P
1 1 1 2
direct
0.500 0.500 0.500
0.000 0.000 0.500
0.000 0.000 0.000
0.000 0.500 0.000
0.500 0.000 0.000



Q | AgSbP2S GGA-PBE relaxed; space group = P4/mmm, No. 123
1.0
-1.869 2.561 3.992
-4.694 -0.384 -1.951
-0.668 -4.318 2.457
Sb S Ag P
1 1 1 2
direct
0.000 0.000 0.000
0.000 0.000 0.500
0.500 0.500 0.500
0.000 0.500 0.000
0.500 0.000 0.000



Tell me which of them is the most stable. Sure, it is P.



P | ScAgPS2 GGA-PBE relaxed; space group = P4/mmm, No. 123
1.0
-0.542 -1.244 4.602
2.500 -4.018 -0.791
3.982 2.265 1.082
Sc P S Ag
1 1 2 1
direct
0.500 0.500 0.500
0.000 0.000 0.500
0.000 0.500 0.000
0.500 0.000 0.000
0.000 0.000 0.000



Q | ScAgPS2 GGA-PBE relaxed; space group = P4/mmm, No. 123
1.0
4.899 0.000 0.000
0.000 4.899 0.000
0.000 0.000 5.020
Sc P S Ag
1 1 2 1
direct
0.000 0.000 0.000
0.000 0.000 0.500
0.000 0.500 0.000
0.500 0.000 0.000
0.500 0.500 0.500



Tell me which of them is the most stable. Sure, it is Q.



P | SrAgP2S GGA-PBE relaxed; space group = P4/mmm, No. 123
1.0
-2.546 -3.680 -1.779
2.543 0.215 -4.084
3.423 -3.313 1.957
Sr S Ag P
1 1 1 2
direct
0.500 0.500 0.500
0.000 0.000 0.500
0.000 0.000 0.000
0.000 0.500 0.000
0.500 0.000 0.000



Q | SrAgP2S GGA-PBE relaxed; space group = P4/mmm, No. 123
1.0
-3.378 -1.079 4.300
-3.281 -3.027 -3.337
2.919 -4.458 1.174
Sr S Ag P
1 1 1 2
direct
0.000 0.000 0.000
0.000 0.000 0.500
0.500 0.500 0.500
0.000 0.500 0.000
0.500 0.000 0.000



Tell me which of them is the most stable. Sure, it is P.



P | VAgP2S GGA-PBE relaxed; space group = P4/mmm, No. 123
1.0
4.606 0.000 0.000
0.000 4.606 0.000
0.000 0.000 4.490
P S Ag V
2 1 1 1
direct
0.000 0.500 0.000
0.500 0.000 0.000
0.000 0.000 0.500
0.500 0.500 0.500
0.000 0.000 0.000



Q | VAgP2S GGA-PBE relaxed; space group = P4/mmm, No. 123
1.0
4.698 0.000 0.000
0.000 4.698 0.000
0.000 0.000 4.806
P S Ag V
2 1 1 1
direct
0.000 0.500 0.000
0.500 0.000 0.000
0.000 0.000 0.500
0.000 0.000 0.000
0.500 0.500 0.500



Tell me which of them is the most stable. Sure, it is P.



P | AgP2WS GGA-PBE relaxed; space group = P4/mmm, No. 123
1.0
-0.243 -3.866 2.781
4.137 1.208 2.041
-2.289 2.441 3.193
P S Ag W
2 1 1 1
direct
0.000 0.500 0.000
0.500 0.000 0.000
0.000 0.000 0.500
0.500 0.500 0.500
0.000 0.000 0.000



Q | AgP2WS GGA-PBE relaxed; space group = P4/mmm, No. 123
1.0
4.631 0.000 0.000
0.000 4.631 0.000
0.000 0.000 4.639
P S Ag W
2 1 1 1
direct
0.000 0.500 0.000
0.500 0.000 0.000
0.000 0.000 0.500
0.000 0.000 0.000
0.500 0.500 0.500



Tell me which of them is the most stable. Sure, it is P.